# 1
The following is a DFT calculation (GGA-PBE) of crystalline KNbTlBr6 at its relaxed geometry.

Cell and atoms, written as CIF:
```
data_KNbTlBr6
_chemical_formula_sum 'K2 Nb2 Tl2 Br12'
_symmetry_space_group_name_H-M 'P -3 1 c'
_symmetry_Int_Tables_number 163
_symmetry_space_group_name_Hall '-P 3 2c'
_cell_length_a 7.8832
_cell_length_b 7.8832
_cell_length_c 12.9006
_cell_angle_alpha 90.00
_cell_angle_beta 90.00
_cell_angle_gamma 120.00
loop_
_atom_site_label
_atom_site_type_symbol
_atom_site_fract_x
_atom_site_fract_y
_atom_site_fract_z
_atom_site_occupancy
K1 K 0.0000 0.0000 0.0000 1
Nb1 Nb 0.3333 0.6667 0.2500 1
Tl1 Tl 0.3333 0.6667 0.7500 1
Br1 Br 0.0643 0.3975 0.1332 1
```

Summary:
The calculation puts the final energy at -0.2695 Ry/atom. The calculation puts the formation energy from raw total energies at -1048 meV/atom. For the density of states at the Fermi level, the calculation gives 13.2 states/eV per cell.

---

# 2
The following is a DFT calculation (GGA-PBE) of crystalline K2NbTlBr8 at its relaxed geometry.

Cell and atoms, written as CIF:
```
data_K2NbTlBr8
_chemical_formula_sum 'K2 Nb1 Tl1 Br8'
_symmetry_space_group_name_H-M 'P -1'
_symmetry_Int_Tables_number 2
_symmetry_space_group_name_Hall '-P 1'
_cell_length_a 6.2421
_cell_length_b 8.4121
_cell_length_c 9.2814
_cell_angle_alpha 98.03
_cell_angle_beta 99.00
_cell_angle_gamma 98.33
loop_
_atom_site_label
_atom_site_type_symbol
_atom_site_fract_x
_atom_site_fract_y
_atom_site_fract_z
_atom_site_occupancy
K1 K 0.2074 0.0206 0.3086 1
Nb1 Nb 0.0000 0.5000 0.0000 1
Tl1 Tl 0.0000 0.5000 0.5000 1
Br1 Br 0.1802 0.3462 0.8077 1
Br2 Br 0.2518 0.8652 0.6079 1
Br3 Br 0.2585 0.4143 0.2091 1
Br4 Br 0.2779 0.7541 0.0091 1
```

Summary:
The calculation puts the final energy at -0.2540 Ry/atom. The calculation puts the formation energy from raw total energies at -1121 meV/atom.

---

# 3
The following is a DFT calculation (GGA-PBE) of crystalline KNbTl2Br at its relaxed geometry.

Cell and atoms, written as CIF:
```
data_KNbTl2Br
_chemical_formula_sum 'K1 Nb1 Tl2 Br1'
_symmetry_space_group_name_H-M 'P 4/m m m'
_symmetry_Int_Tables_number 123
_symmetry_space_group_name_Hall '-P 4 2'
_cell_length_a 6.2024
_cell_length_b 6.2024
_cell_length_c 5.0384
_cell_angle_alpha 90.00
_cell_angle_beta 90.00
_cell_angle_gamma 90.00
loop_
_atom_site_label
_atom_site_type_symbol
_atom_site_fract_x
_atom_site_fract_y
_atom_site_fract_z
_atom_site_occupancy
K1 K 0.0000 0.0000 0.0000 1
Nb1 Nb 0.5000 0.5000 0.0000 1
Tl1 Tl 0.0000 0.5000 0.5000 1
Br1 Br 0.5000 0.5000 0.5000 1
```

Summary:
The calculation puts the final energy at -0.2162 Ry/atom. The calculation puts the formation energy from raw total energies at 573 meV/atom. For the density of states at the Fermi level, the calculation gives 4.6 states/eV per cell.

---

# 4
The following is a DFT calculation (GGA-PBE) of crystalline K2YNbBr at its relaxed geometry.

Cell and atoms, written as CIF:
```
data_K2YNbBr
_chemical_formula_sum 'K2 Y1 Nb1 Br1'
_symmetry_space_group_name_H-M 'P 4/m m m'
_symmetry_Int_Tables_number 123
_symmetry_space_group_name_Hall '-P 4 2'
_cell_length_a 6.6378
_cell_length_b 6.6378
_cell_length_c 5.3060
_cell_angle_alpha 90.00
_cell_angle_beta 90.00
_cell_angle_gamma 90.00
loop_
_atom_site_label
_atom_site_type_symbol
_atom_site_fract_x
_atom_site_fract_y
_atom_site_fract_z
_atom_site_occupancy
K1 K 0.0000 0.5000 0.0000 1
Y1 Y 0.0000 0.0000 0.5000 1
Nb1 Nb 0.0000 0.0000 0.0000 1
Br1 Br 0.5000 0.5000 0.5000 1
```

Summary:
The calculation puts the final energy at -0.2468 Ry/atom. The calculation puts the formation energy from raw total energies at 722 meV/atom. For the density of states at the Fermi level, the calculation gives 3.5 states/eV per cell.

---

# 5
The following is a DFT calculation (GGA-PBE) of crystalline KNbZn2Br at its relaxed geometry.

Cell and atoms, written as CIF:
```
data_KNbZn2Br
_chemical_formula_sum 'K1 Nb1 Zn2 Br1'
_symmetry_space_group_name_H-M 'P 4/m m m'
_symmetry_Int_Tables_number 123
_symmetry_space_group_name_Hall '-P 4 2'
_cell_length_a 5.2564
_cell_length_b 5.2564
_cell_length_c 7.4968
_cell_angle_alpha 90.00
_cell_angle_beta 90.00
_cell_angle_gamma 90.00
loop_
_atom_site_label
_atom_site_type_symbol
_atom_site_fract_x
_atom_site_fract_y
_atom_site_fract_z
_atom_site_occupancy
K1 K 0.0000 0.0000 0.0000 1
Nb1 Nb 0.0000 0.0000 0.5000 1
Zn1 Zn 0.0000 0.5000 0.5000 1
Br1 Br 0.5000 0.5000 0.0000 1
```

Summary:
The calculation puts the final energy at -0.1841 Ry/atom. The calculation puts the formation energy from raw total energies at 573 meV/atom. For the density of states at the Fermi level, the calculation gives 2.9 states/eV per cell.

---

# 6
The following is a DFT calculation (GGA-PBE) of crystalline KNdBr3 at its relaxed geometry.

Cell and atoms, written as CIF:
```
data_KNdBr3
_chemical_formula_sum 'K4 Nd4 Br12'
_symmetry_space_group_name_H-M 'P n m a'
_symmetry_Int_Tables_number 62
_symmetry_space_group_name_Hall '-P 2ac 2n'
_cell_length_a 9.6038
_cell_length_b 4.1446
_cell_length_c 16.8949
_cell_angle_alpha 90.00
_cell_angle_beta 90.00
_cell_angle_gamma 90.00
loop_
_atom_site_label
_atom_site_type_symbol
_atom_site_fract_x
_atom_site_fract_y
_atom_site_fract_z
_atom_site_occupancy
K1 K 0.0869 0.2500 0.1853 1
Nd1 Nd 0.1440 0.7500 0.4585 1
Br1 Br 0.0347 0.7500 0.6274 1
Br2 Br 0.1612 0.7500 0.0239 1
Br3 Br 0.2023 0.2500 0.8056 1
```

Summary:
The calculation puts the final energy at -0.2836 Ry/atom. The calculation puts the formation energy from raw total energies at -1682 meV/atom. For the density of states at the Fermi level, the calculation gives 2.9 states/eV per cell.

---

# 7
The following is a DFT calculation (GGA-PBE) of crystalline KNd2Br6 at its relaxed geometry.

Cell and atoms, written as CIF:
```
data_KNd2Br6
_chemical_formula_sum 'K2 Nd4 Br12'
_symmetry_space_group_name_H-M 'A m m 2'
_symmetry_Int_Tables_number 38
_symmetry_space_group_name_Hall 'A 2 -2'
_cell_length_a 4.9293
_cell_length_b 11.9778
_cell_length_c 10.8913
_cell_angle_alpha 90.00
_cell_angle_beta 90.00
_cell_angle_gamma 90.00
loop_
_atom_site_label
_atom_site_type_symbol
_atom_site_fract_x
_atom_site_fract_y
_atom_site_fract_z
_atom_site_occupancy
K1 K 0.0000 0.0000 0.0000 1
Nd1 Nd 0.5000 0.1602 0.3535 1
Br1 Br 0.0000 0.0000 0.2993 1
Br2 Br 0.0000 0.2034 0.8091 1
Br3 Br 0.5000 0.0000 0.5557 1
Br4 Br 0.5000 0.1748 0.0762 1
```

Summary:
The calculation puts the final energy at -0.2962 Ry/atom. The calculation puts the formation energy from raw total energies at -1734 meV/atom. For the density of states at the Fermi level, the calculation gives 1.8 states/eV per cell.

---

# 8
The following is a DFT calculation (GGA-PBE) of crystalline K2NdBr5 at its relaxed geometry.

Cell and atoms, written as CIF:
```
data_K2NdBr5
_chemical_formula_sum 'K8 Nd4 Br20'
_symmetry_space_group_name_H-M 'P n m a'
_symmetry_Int_Tables_number 62
_symmetry_space_group_name_Hall '-P 2ac 2n'
_cell_length_a 13.6874
_cell_length_b 9.2366
_cell_length_c 8.6118
_cell_angle_alpha 90.00
_cell_angle_beta 90.00
_cell_angle_gamma 90.00
loop_
_atom_site_label
_atom_site_type_symbol
_atom_site_fract_x
_atom_site_fract_y
_atom_site_fract_z
_atom_site_occupancy
K1 K 0.1729 0.0035 0.0523 1
Nd1 Nd 0.0058 0.2500 0.5771 1
Br1 Br 0.0089 0.2500 0.9226 1
Br2 Br 0.0774 0.5443 0.6648 1
Br3 Br 0.1790 0.2500 0.3739 1
Br4 Br 0.2033 0.7500 0.3373 1
```

Summary:
The calculation puts the final energy at -0.2768 Ry/atom. The calculation puts the formation energy from raw total energies at -1850 meV/atom. For the density of states at the Fermi level, the calculation gives 0.0 states/eV per cell.

---

# 9
The following is a DFT calculation (GGA-PBE) of crystalline KNd2Br8 at its relaxed geometry.

Cell and atoms, written as CIF:
```
data_KNd2Br8
_chemical_formula_sum 'K2 Nd4 Br16'
_symmetry_space_group_name_H-M 'C 1 2/m 1'
_symmetry_Int_Tables_number 12
_symmetry_space_group_name_Hall '-C 2y'
_cell_length_a 12.2115
_cell_length_b 9.1011
_cell_length_c 8.3602
_cell_angle_alpha 90.00
_cell_angle_beta 101.86
_cell_angle_gamma 90.00
loop_
_atom_site_label
_atom_site_type_symbol
_atom_site_fract_x
_atom_site_fract_y
_atom_site_fract_z
_atom_site_occupancy
K1 K 0.0000 0.0000 0.0000 1
Nd1 Nd 0.1769 0.5000 0.4603 1
Br1 Br 0.0558 0.5000 0.7273 1
Br2 Br 0.1512 0.1912 0.3255 1
Br3 Br 0.2160 0.0000 0.8162 1
```

Summary:
The calculation puts the final energy at -0.2787 Ry/atom. The calculation puts the formation energy from raw total energies at -1609 meV/atom. For the density of states at the Fermi level, the calculation gives 11.7 states/eV per cell.